No. 1
A geometry-optimized La3Cd9In2 structure. Source: Alexandria, functional GGA-PBE.

Cell and atoms, written as POSCAR:
```
La3Cd9In2
1.0
-2.965 3.537 -1.671
-2.089 -2.393 -8.570
-8.341 -3.725 -0.294
Cd La In
9 3 2
direct
0.144 0.136 0.577
0.657 0.710 0.976
0.657 0.976 0.710
0.856 0.423 0.864
0.856 0.864 0.423
0.343 0.024 0.290
0.000 0.500 0.500
0.144 0.577 0.136
0.343 0.290 0.024
0.701 0.299 0.299
0.299 0.701 0.701
0.000 0.000 0.000
0.500 0.688 0.312
0.500 0.312 0.688
```

Calculated values
The calculation puts the total energy at -0.0861 hartree per atom. The calculation puts the magnetic moment at 0.00 μB/cell.

***

No. 2
A geometry-optimized CaMnI2N structure. Source: Alexandria, functional GGA-PBE.

Cell and atoms, written as POSCAR:
```
CaMnI2N
1.0
-0.765 3.234 -4.737
3.698 -3.375 -2.901
-2.786 -2.168 -1.030
I Mn N Ca
2 1 1 1
direct
0.000 0.500 0.000
0.500 0.000 0.000
0.000 0.000 0.000
0.000 0.000 0.500
0.500 0.500 0.500
```

Calculated values
The calculation puts the total energy at -0.1763 hartree per atom. The calculation puts the magnetic moment at 2.88 μB/cell. The calculation puts the uncorrected formation energy at -279 meV per atom.

***

No. 3
A geometry-optimized SrAlReCl2 structure. Source: Alexandria, functional GGA-PBE.

Cell and atoms, written as POSCAR:
```
SrAlReCl2
1.0
-1.348 4.620 0.423
0.354 -0.533 6.958
4.632 1.364 -0.131
Re Cl Al Sr
1 2 1 1
direct
0.500 0.500 0.500
0.500 0.000 0.000
0.000 0.000 0.500
0.000 0.000 0.000
0.000 0.500 0.000
```

Calculated values
The calculation puts the total energy at -0.1335 hartree per atom. The calculation puts the magnetic moment at 4.00 μB/cell. The calculation puts the uncorrected formation energy at 680 meV per atom.

***

No. 4
A geometry-optimized TaTl2ZnBr structure. Source: Alexandria, functional GGA-PBE.

Cell and atoms, written as POSCAR:
```
TaTl2ZnBr
1.0
-3.365 -3.308 -3.816
2.689 -3.892 1.002
-3.757 -1.425 4.548
Tl Br Zn Ta
2 1 1 1
direct
0.000 0.000 0.500
0.500 0.000 0.000
0.000 0.000 0.000
0.500 0.500 0.500
0.000 0.500 0.000
```

Calculated values
The calculation puts the total energy at -0.1032 hartree per atom. The calculation puts the magnetic moment at 1.06 μB/cell. The calculation puts the uncorrected formation energy at 1099 meV per atom.

***

No. 5
A geometry-optimized Na2As2N structure. Source: Alexandria, functional GGA-PBE.

Cell and atoms, written as POSCAR:
```
Na2As2N
1.0
6.031 0.000 0.000
0.000 6.031 0.000
3.015 3.015 3.286
N Na As
1 2 2
direct
0.000 0.000 0.000
0.750 0.250 0.500
0.250 0.750 0.500
0.729 0.729 0.543
0.271 0.271 0.457
```

Calculated values
The calculation puts the total energy at -0.1429 hartree per atom. The calculation puts the magnetic moment at 0.00 μB/cell. The calculation puts the uncorrected formation energy at 164 meV per atom.

***

No. 6
A geometry-optimized ScCd2Cu structure. Source: Alexandria, functional GGA-PBE.

Cell and atoms, written as POSCAR:
```
ScCd2Cu
1.0
0.240 1.068 4.615
-3.400 2.630 2.005
-3.040 -1.982 3.054
Cu Cd Sc
1 2 1
direct
0.500 0.500 0.500
0.250 0.250 0.250
0.750 0.750 0.750
0.000 0.000 0.000
```

Calculated values
The calculation puts the total energy at -0.1168 hartree per atom. The calculation puts the magnetic moment at 0.00 μB/cell.

***

No. 7
A geometry-optimized LiCrAs structure. Source: Alexandria, functional GGA-PBE.

Cell and atoms, written as POSCAR:
```
LiCrAs
1.0
4.098 0.000 0.000
2.049 3.549 0.000
2.049 1.183 3.346
As Li Cr
1 1 1
direct
0.000 0.000 0.000
0.750 0.750 0.750
0.500 0.500 0.500
```

Calculated values
The calculation puts the total energy at -0.1964 hartree per atom. The calculation puts the magnetic moment at 4.00 μB/cell.

***

No. 8
A geometry-optimized Li2TbCu2Sb2 structure. Source: Alexandria, functional GGA-PBE.

Cell and atoms, written as POSCAR:
```
Li2TbCu2Sb2
1.0
-3.100 0.558 -3.003
-1.576 -3.431 -2.164
-7.221 -1.930 3.942
Tb Li Sb Cu
1 2 2 2
direct
0.000 0.000 0.000
0.858 0.858 0.426
0.142 0.142 0.574
0.256 0.256 0.232
0.744 0.744 0.768
0.443 0.443 0.670
0.557 0.557 0.330
```

Calculated values
The calculation puts the total energy at -0.1504 hartree per atom. The calculation puts the magnetic moment at 0.00 μB/cell. The calculation puts the uncorrected formation energy at -536 meV per atom.

***

No. 9
A geometry-optimized Cs2TlH6Ir structure. Source: Alexandria, functional GGA-PBE.

Cell and atoms, written as POSCAR:
```
Cs2TlH6Ir
1.0
6.579 0.000 0.000
0.000 6.253 0.000
0.000 -3.127 5.415
Tl Ir H Cs
1 1 6 2
direct
0.500 0.000 0.000
0.000 0.000 0.000
0.851 0.744 0.872
0.149 0.872 0.744
0.149 0.872 0.128
0.851 0.128 0.872
0.149 0.256 0.128
0.851 0.128 0.256
0.829 0.667 0.333
0.171 0.333 0.667
```

Calculated values
The calculation puts the total energy at -0.1288 hartree per atom. The calculation puts the magnetic moment at 0.00 μB/cell.

***

No. 10
A geometry-optimized GePtPbSe2 structure. Source: Alexandria, functional GGA-PBE.

Cell and atoms, written as POSCAR:
```
GePtPbSe2
1.0
-4.905 0.667 2.098
0.619 -4.480 2.872
2.111 2.872 4.025
Pb Se Ge Pt
1 2 1 1
direct
0.000 0.000 0.000
0.500 0.000 0.000
0.000 0.000 0.500
0.000 0.500 0.000
0.500 0.500 0.500
```

Calculated values
The calculation puts the total energy at -0.1102 hartree per atom. The calculation puts the magnetic moment at 0.46 μB/cell. The calculation puts the uncorrected formation energy at 1267 meV per atom.

***

No. 11
A geometry-optimized GaNi6Ir2 structure. Source: Alexandria, functional GGA-PBE.

Cell and atoms, written as POSCAR:
```
GaNi6Ir2
1.0
5.075 -1.059 -0.568
-1.226 6.674 0.589
-0.656 -0.086 6.742
Ni Ir Ga
12 4 2
direct
0.905 0.996 0.160
0.198 0.669 0.948
0.095 0.004 0.840
0.023 0.670 0.273
0.755 0.000 0.497
0.304 0.335 0.053
0.529 0.670 0.273
0.245 0.000 0.503
0.802 0.331 0.052
0.696 0.665 0.947
0.977 0.330 0.727
0.471 0.330 0.727
0.638 0.334 0.387
0.134 0.328 0.381
0.866 0.672 0.619
0.362 0.666 0.613
0.601 0.008 0.827
0.399 0.992 0.173
```

Calculated values
The calculation puts the total energy at -0.2298 hartree per atom. The calculation puts the magnetic moment at 1.80 μB/cell.

***

No. 12
A geometry-optimized CsDyMnS3 structure. Source: Alexandria, functional GGA-PBE.

Cell and atoms, written as POSCAR:
```
CsDyMnS3
1.0
-4.009 0.926 -0.060
-1.501 -6.891 -6.130
-0.894 -3.267 9.349
S Cs Mn Dy
6 2 2 2
direct
0.250 0.812 0.451
0.250 0.130 0.858
0.750 0.188 0.549
0.750 0.477 0.151
0.250 0.523 0.849
0.750 0.870 0.142
0.750 0.784 0.758
0.250 0.216 0.242
0.250 0.086 0.613
0.750 0.914 0.387
0.250 0.666 0.137
0.750 0.334 0.863
```

Calculated values
The calculation puts the total energy at -0.2177 hartree per atom. The calculation puts the magnetic moment at 10.01 μB/cell. The calculation puts the uncorrected formation energy at -1423 meV per atom.

***

no.,volume (Å³/atom)
1,25.969
2,24.626
3,32.614
4,35.615
5,23.903
6,18.861
7,16.218
8,18.902
9,22.279
10,30.972
11,12.095
12,29.728